Material: AlCd2Sb
Method: DFT, PBE
State: optimized geometry

Cell lengths 5.150, 5.150, 5.150 Å; angles 60.00, 60.00, 60.00 degrees
Fractional coordinates of all 4 atoms:
Sb (0.750, 0.750, 0.750)
Al (0.500, 0.500, 0.500)
Cd (0.000, 0.000, 0.000)
Cd (0.250, 0.250, 0.250)

Summary:
formation energy from raw total energies = 18 kJ/mol of atoms
Fermi-level density of states = 1.60 states/eV/f.u.
E above lowest polymorph = 93 meV per atom